PBE with a Hubbard U NaMnHgF6, relaxed; total DFT energy (no corrections) = -4.3906 eV/atom
1.0
-3.132 1.851 -4.490
-2.176 -3.957 3.606
-3.549 6.739 5.253
F Na Hg Mn
12 2 2 2
Direct
0.622 0.953 0.867
0.669 0.622 0.133
0.331 0.953 0.633
0.622 0.669 0.633
0.047 0.378 0.633
0.378 0.047 0.133
0.331 0.378 0.867
0.953 0.331 0.133
0.378 0.331 0.367
0.953 0.622 0.367
0.669 0.047 0.367
0.047 0.669 0.867
0.000 0.000 0.000
0.000 0.000 0.500
0.667 0.333 0.750
0.333 0.667 0.250
0.333 0.667 0.750
0.667 0.333 0.250